[1]
# PrSN4

PrSN4 after structural relaxation (GGA-PBE, Alexandria).

Results
E_tot ... -43.56 eV per formula unit
Mass density ... 3.25 g/cm3
ΔE_f (raw) ... -226 meV per atom

a = 6.954 Å, b = 6.954 Å, c = 6.771 Å
α = 98.50°, β = 98.50°, γ = 130.22°
Sites, in units of the cell vectors:
Pr  0.068  0.932  0.750
Pr  0.932  0.068  0.250
S  0.465  0.535  0.250
S  0.535  0.465  0.750
N  0.047  0.579  0.961
N  0.243  0.300  0.602
N  0.300  0.243  0.102
N  0.421  0.953  0.539
N  0.579  0.047  0.461
N  0.700  0.757  0.898
N  0.757  0.700  0.398
N  0.953  0.421  0.039

[2]
# KOs2Au

KOs2Au after structural relaxation (GGA-PBE, Alexandria).

Results
E_tot ... -22.21 eV per formula unit
Polymorph energy (0 for the lowest one) ... 611 meV per atom
Mass density ... 13.87 g/cm3

a = 2.680 Å, b = 5.414 Å, c = 5.093 Å
α = 90.00°, β = 92.34°, γ = 90.00°
Sites, in units of the cell vectors:
K  0.000  0.000  0.000
Os  0.361  0.500  0.755
Os  0.639  0.500  0.245
Au  0.500  0.000  0.500